Entry 1:
# AlCoRe2Mo, relaxed, DFT PBE-GGA
data_AlCoRe2Mo
_chemical_formula_sum 'Al1 Co1 Re2 Mo1'
_symmetry_space_group_name_H-M 'P 4/m m m'
_symmetry_Int_Tables_number 123
_symmetry_space_group_name_Hall '-P 4 2'
_cell_length_a 4.711
_cell_length_b 4.711
_cell_length_c 4.356
_cell_angle_alpha 90.00
_cell_angle_beta 90.00
_cell_angle_gamma 90.00
loop_
_atom_site_label
_atom_site_fract_x
_atom_site_fract_y
_atom_site_fract_z
_atom_site_occupancy
Al1 0.000 0.000 0.000 1
Co1 0.500 0.500 0.000 1
Re1 0.000 0.500 0.500 1
Mo1 0.500 0.500 0.500 1
# Total magnetization ... 0.94 μB/f.u.
# DFT formation energy ... 1.88 eV/atom
# Volume ... 19.33 Å³ per atom

---

Entry 2:
# AlCo2ReMo, relaxed, DFT PBE-GGA
data_AlCo2ReMo
_chemical_formula_sum 'Al1 Co2 Re1 Mo1'
_symmetry_space_group_name_H-M 'P 4/m m m'
_symmetry_Int_Tables_number 123
_symmetry_space_group_name_Hall '-P 4 2'
_cell_length_a 4.067
_cell_length_b 4.067
_cell_length_c 4.529
_cell_angle_alpha 90.00
_cell_angle_beta 90.00
_cell_angle_gamma 90.00
loop_
_atom_site_label
_atom_site_fract_x
_atom_site_fract_y
_atom_site_fract_z
_atom_site_occupancy
Al1 0.000 0.000 0.000 1
Co1 0.000 0.500 0.000 1
Re1 0.500 0.500 0.500 1
Mo1 0.000 0.000 0.500 1
# Total magnetization ... 2.02 μB/f.u.
# DFT formation energy ... 1.31 eV/atom
# Volume ... 14.98 Å³ per atom

---

Entry 3:
# AlCoMoRu, relaxed, DFT PBE-GGA
data_AlCoMoRu
_chemical_formula_sum 'Al4 Co4 Mo4 Ru4'
_symmetry_space_group_name_H-M 'F -4 3 m'
_symmetry_Int_Tables_number 216
_symmetry_space_group_name_Hall 'F -4 2 3'
_cell_length_a 6.035
_cell_length_b 6.035
_cell_length_c 6.035
_cell_angle_alpha 90.00
_cell_angle_beta 90.00
_cell_angle_gamma 90.00
loop_
_atom_site_label
_atom_site_fract_x
_atom_site_fract_y
_atom_site_fract_z
_atom_site_occupancy
Al1 0.000 0.000 0.000 1
Co1 0.250 0.250 0.250 1
Mo1 0.000 0.000 0.500 1
Ru1 0.250 0.250 0.750 1
# Total magnetization ... 1.86 μB/f.u.
# DFT formation energy ... -0.26 eV/atom
# Volume ... 13.73 Å³ per atom

---

Entry 4:
# Sr2AlCoMo, relaxed, DFT PBE-GGA
data_Sr2AlCoMo
_chemical_formula_sum 'Sr2 Al1 Co1 Mo1'
_symmetry_space_group_name_H-M 'P 4/m m m'
_symmetry_Int_Tables_number 123
_symmetry_space_group_name_Hall '-P 4 2'
_cell_length_a 5.750
_cell_length_b 5.750
_cell_length_c 4.412
_cell_angle_alpha 90.00
_cell_angle_beta 90.00
_cell_angle_gamma 90.00
loop_
_atom_site_label
_atom_site_fract_x
_atom_site_fract_y
_atom_site_fract_z
_atom_site_occupancy
Sr1 0.000 0.500 0.000 1
Al1 0.000 0.000 0.500 1
Co1 0.500 0.500 0.000 1
Mo1 0.500 0.500 0.500 1
# Total magnetization ... 1.61 μB/f.u.
# DFT formation energy ... 0.70 eV/atom
# Volume ... 29.18 Å³ per atom

---

Entry 5:
# AlCoTcMo, relaxed, DFT PBE-GGA
data_AlCoTcMo
_chemical_formula_sum 'Al4 Co4 Tc4 Mo4'
_symmetry_space_group_name_H-M 'F -4 3 m'
_symmetry_Int_Tables_number 216
_symmetry_space_group_name_Hall 'F -4 2 3'
_cell_length_a 6.042
_cell_length_b 6.042
_cell_length_c 6.042
_cell_angle_alpha 90.00
_cell_angle_beta 90.00
_cell_angle_gamma 90.00
loop_
_atom_site_label
_atom_site_fract_x
_atom_site_fract_y
_atom_site_fract_z
_atom_site_occupancy
Al1 0.000 0.000 0.000 1
Co1 0.250 0.250 0.750 1
Tc1 0.250 0.250 0.250 1
Mo1 0.000 0.000 0.500 1
# Total magnetization ... 0.91 μB/f.u.
# DFT formation energy ... -0.22 eV/atom
# Volume ... 13.78 Å³ per atom

---

Entry 6:
# AlCoMo2W, relaxed, DFT PBE-GGA
data_AlCoMo2W
_chemical_formula_sum 'Al1 Co1 Mo2 W1'
_symmetry_space_group_name_H-M 'P 4/m m m'
_symmetry_Int_Tables_number 123
_symmetry_space_group_name_Hall '-P 4 2'
_cell_length_a 4.725
_cell_length_b 4.725
_cell_length_c 4.787
_cell_angle_alpha 90.00
_cell_angle_beta 90.00
_cell_angle_gamma 90.00
loop_
_atom_site_label
_atom_site_fract_x
_atom_site_fract_y
_atom_site_fract_z
_atom_site_occupancy
Al1 0.000 0.000 0.000 1
Co1 0.500 0.500 0.000 1
Mo1 0.000 0.500 0.500 1
W1 0.000 0.000 0.500 1
# Total magnetization ... 3.08 μB/f.u.
# DFT formation energy ... 1.88 eV/atom
# Volume ... 21.38 Å³ per atom

---

Entry 7:
# AlCoN2, relaxed, DFT PBE-GGA
data_AlCoN2
_chemical_formula_sum 'Al3 Co3 N6'
_symmetry_space_group_name_H-M 'R -3 m'
_symmetry_Int_Tables_number 166
_symmetry_space_group_name_Hall '-R 3 2"'
_cell_length_a 2.8687
_cell_length_b 2.8687
_cell_length_c 17.3069
_cell_angle_alpha 90.00
_cell_angle_beta 90.00
_cell_angle_gamma 120.00
loop_
_atom_site_label
_atom_site_fract_x
_atom_site_fract_y
_atom_site_fract_z
_atom_site_occupancy
Al1 0.0000 0.0000 0.0000 1
Co1 0.0000 0.0000 0.5000 1
N1 0.0000 0.0000 0.1081 1
# Total magnetization ... 0.00 μB/f.u.
# Formation energy without anion corrections ... 253 meV per atom
# Volume ... 10.28 Å³ per atom

---

Entry 8:
# Al3CoN, relaxed, DFT PBE-GGA
data_Al3CoN
_chemical_formula_sum 'Al3 Co1 N1'
_symmetry_space_group_name_H-M 'P m -3 m'
_symmetry_Int_Tables_number 221
_symmetry_space_group_name_Hall '-P 4 2 3'
_cell_length_a 3.906
_cell_length_b 3.906
_cell_length_c 3.906
_cell_angle_alpha 90.00
_cell_angle_beta 90.00
_cell_angle_gamma 90.00
loop_
_atom_site_label
_atom_site_fract_x
_atom_site_fract_y
_atom_site_fract_z
_atom_site_occupancy
Al1 0.000 0.000 0.500 1
Co1 0.500 0.500 0.500 1
N1 0.000 0.000 0.000 1
# Total magnetization ... 0.00 μB/f.u.
# ΔE to the lowest computed polymorph ... 0 meV per atom
# Formation energy without anion corrections ... -156 meV per atom
# Volume ... 11.92 Å³ per atom

---

Entry 9:
# AlCoN2, relaxed, DFT PBE-GGA
data_AlCoN2
_chemical_formula_sum 'Al4 Co4 N8'
_symmetry_space_group_name_H-M 'I -4 2 d'
_symmetry_Int_Tables_number 122
_symmetry_space_group_name_Hall 'I -4 2bw'
_cell_length_a 4.335
_cell_length_b 4.335
_cell_length_c 8.764
_cell_angle_alpha 90.00
_cell_angle_beta 90.00
_cell_angle_gamma 90.00
loop_
_atom_site_label
_atom_site_fract_x
_atom_site_fract_y
_atom_site_fract_z
_atom_site_occupancy
Al1 0.000 0.000 0.000 1
Co1 0.000 0.000 0.500 1
N1 0.247 0.250 0.625 1
# Total magnetization ... 0.00 μB/f.u.
# Formation energy without anion corrections ... -359 meV per atom
# Volume ... 10.29 Å³ per atom

---

Entry 10:
# Al2CoN3, relaxed, DFT PBE-GGA
data_Al2CoN3
_chemical_formula_sum 'Al8 Co4 N12'
_symmetry_space_group_name_H-M 'C m c 21'
_symmetry_Int_Tables_number 36
_cell_length_a 9.582
_cell_length_b 5.414
_cell_length_c 4.948
_cell_angle_alpha 90.00
_cell_angle_beta 90.00
_cell_angle_gamma 90.00
loop_
_symmetry_equiv_pos_as_xyz
'x,y,z'
'-x,-y,z+1/2'
'-x,y,z'
'x,-y,z+1/2'
'x+1/2,y+1/2,z'
'-x+1/2,-y+1/2,z+1/2'
'-x+1/2,y+1/2,z'
'x+1/2,-y+1/2,z+1/2'
loop_
_atom_site_label
_atom_site_fract_x
_atom_site_fract_y
_atom_site_fract_z
_atom_site_occupancy
Al1 0.168 0.164 0.000 1
Co1 0.000 0.345 0.498 1
N1 0.000 0.322 0.876 1
N2 0.170 0.168 0.383 1
# Total magnetization ... 2.13 μB/f.u.
# Formation energy without anion corrections ... -635 meV per atom
# Volume ... 10.69 Å³ per atom

---

Entry 11:
# AlCo2N, relaxed, DFT PBE-GGA
data_AlCo2N
_chemical_formula_sum 'Al4 Co8 N4'
_symmetry_space_group_name_H-M 'I -4 2 d'
_symmetry_Int_Tables_number 122
_symmetry_space_group_name_Hall 'I -4 2bw'
_cell_length_a 5.008
_cell_length_b 5.008
_cell_length_c 8.328
_cell_angle_alpha 90.00
_cell_angle_beta 90.00
_cell_angle_gamma 90.00
loop_
_atom_site_label
_atom_site_fract_x
_atom_site_fract_y
_atom_site_fract_z
_atom_site_occupancy
Al1 0.000 0.000 0.000 1
Co1 0.138 0.250 0.625 1
N1 0.000 0.000 0.500 1
# Total magnetization ... 0.00 μB/f.u.
# ΔE to the lowest computed polymorph ... 0 meV per atom
# Formation energy without anion corrections ... 133 meV per atom
# Volume ... 13.06 Å³ per atom

---

Entry 12:
# AlCoN2, relaxed, DFT PBE-GGA
data_AlCoN2
_chemical_formula_sum 'Al4 Co4 N8'
_symmetry_space_group_name_H-M 'P n a 21'
_symmetry_Int_Tables_number 33
_cell_length_a 5.411
_cell_length_b 6.278
_cell_length_c 4.874
_cell_angle_alpha 90.00
_cell_angle_beta 90.00
_cell_angle_gamma 90.00
loop_
_symmetry_equiv_pos_as_xyz
'x,y,z'
'-x,-y,z+1/2'
'-x+1/2,y+1/2,z+1/2'
'x+1/2,-y+1/2,z'
loop_
_atom_site_label
_atom_site_fract_x
_atom_site_fract_y
_atom_site_fract_z
_atom_site_occupancy
Al1 0.087 0.125 0.000 1
Co1 0.081 0.622 0.993 1
N1 0.084 0.125 0.393 1
N2 0.084 0.630 0.377 1
# Total magnetization ... 0.00 μB/f.u.
# Formation energy without anion corrections ... -330 meV per atom
# Volume ... 10.35 Å³ per atom

---

Entry 13:
# AlCo2N, relaxed, DFT PBE-GGA
data_AlCo2N
_chemical_formula_sum 'Al4 Co8 N4'
_symmetry_space_group_name_H-M 'F m -3 m'
_symmetry_Int_Tables_number 225
_symmetry_space_group_name_Hall '-F 4 2 3'
_cell_length_a 5.515
_cell_length_b 5.515
_cell_length_c 5.515
_cell_angle_alpha 90.00
_cell_angle_beta 90.00
_cell_angle_gamma 90.00
loop_
_atom_site_label
_atom_site_fract_x
_atom_site_fract_y
_atom_site_fract_z
_atom_site_occupancy
Al1 0.000 0.000 0.000 1
Co1 0.250 0.250 0.250 1
N1 0.000 0.000 0.500 1
# Total magnetization ... 2.80 μB/f.u.
# ΔE to the lowest computed polymorph ... 638 meV per atom
# Formation energy without anion corrections ... 771 meV per atom
# Volume ... 10.48 Å³ per atom

---

Entry 14:
# Al3CoN, relaxed, DFT PBE-GGA
data_Al3CoN
_chemical_formula_sum 'Al3 Co1 N1'
_symmetry_space_group_name_H-M 'P m -3 m'
_symmetry_Int_Tables_number 221
_symmetry_space_group_name_Hall '-P 4 2 3'
_cell_length_a 4.441
_cell_length_b 4.441
_cell_length_c 4.441
_cell_angle_alpha 90.00
_cell_angle_beta 90.00
_cell_angle_gamma 90.00
loop_
_atom_site_label
_atom_site_fract_x
_atom_site_fract_y
_atom_site_fract_z
_atom_site_occupancy
Al1 0.000 0.000 0.500 1
Co1 0.000 0.000 0.000 1
N1 0.500 0.500 0.500 1
# Total magnetization ... 2.57 μB/f.u.
# ΔE to the lowest computed polymorph ... 946 meV per atom
# Formation energy without anion corrections ... 790 meV per atom
# Volume ... 17.52 Å³ per atom

---

Entry 15:
# AlCoN2, relaxed, DFT PBE-GGA
data_AlCoN2
_chemical_formula_sum 'Al3 Co3 N6'
_symmetry_space_group_name_H-M 'R -3 m'
_symmetry_Int_Tables_number 166
_symmetry_space_group_name_Hall '-R 3 2"'
_cell_length_a 2.9442
_cell_length_b 2.9442
_cell_length_c 16.8338
_cell_angle_alpha 90.00
_cell_angle_beta 90.00
_cell_angle_gamma 120.00
loop_
_atom_site_label
_atom_site_fract_x
_atom_site_fract_y
_atom_site_fract_z
_atom_site_occupancy
Al1 0.0000 0.0000 0.0000 1
Co1 0.0000 0.0000 0.5000 1
N1 0.0000 0.0000 0.3962 1
# Total magnetization ... 1.74 μB/f.u.
# Formation energy without anion corrections ... 63 meV per atom
# Volume ... 10.53 Å³ per atom